# 1
Entry from the Alexandria database: an optimized crystal structure of Ba2TlPb2 (PBE).

It has space group P4/mbm (No. 127), with a = 8.537 Å, b = 8.537 Å, c = 5.394 Å, α = 90.00°, β = 90.00° and γ = 90.00°. The inequivalent atoms are Ba at (0.169, 0.331, 0.000), Tl at (0.000, 0.000, 0.500) and Pb at (0.133, 0.633, 0.500).

Its energy above the most stable polymorph in this dataset is 0.0359 eV/atom. For the formation energy, the calculation gives -0.435 eV/atom. As for the theoretical density: 7.55 g cm⁻³.



# 2
Entry from the Alexandria database: an optimized crystal structure of CsRbTl2Pt (PBE).

It has space group P4/mmm (No. 123), with a = 5.457 Å, b = 5.457 Å, c = 6.479 Å, α = 90.00°, β = 90.00° and γ = 90.00°. The inequivalent atoms are Cs at (0.000, 0.000, 0.000), Rb at (0.500, 0.500, 0.000), Tl at (0.000, 0.500, 0.500) and Pt at (0.500, 0.500, 0.500).

Its energy above the most stable polymorph in this dataset is 0.0000 eV/atom. For the formation energy, the calculation gives -0.059 eV/atom. As for the theoretical density: 7.08 g cm⁻³.



# 3
Entry from the Alexandria database: an optimized crystal structure of Sr3Zn3Ag (PBE).

It has space group C2/m (No. 12), with a = 11.548 Å, b = 4.768 Å, c = 15.709 Å, α = 90.00°, β = 110.37° and γ = 90.00°. The inequivalent atoms are Sr at (0.044, 0.000, 0.387), Sr at (0.108, 0.000, 0.923), Sr at (0.245, 0.500, 0.768), Zn at (0.052, 0.500, 0.231), Zn at (0.095, 0.500, 0.077), Zn at (0.130, 0.500, 0.542) and Ag at (0.249, 0.000, 0.605).

For the formation energy, the calculation gives -0.231 eV/atom. As for the theoretical density: 4.64 g cm⁻³.



# 4
Entry from the Alexandria database: an optimized crystal structure of Np2SbP (PBE).

It has space group P4/mmm (No. 123), with a = 3.434 Å, b = 3.434 Å, c = 7.614 Å, α = 90.00°, β = 90.00° and γ = 90.00°. The inequivalent atoms are Np at (0.000, 0.000, 0.210), Sb at (0.500, 0.500, 0.500) and P at (0.500, 0.500, 0.000).

Its energy above the most stable polymorph in this dataset is 0.0387 eV/atom. As for the theoretical density: 11.59 g cm⁻³.



# 5
Entry from the Alexandria database: an optimized crystal structure of Ba3Na3Hg2 (PBE).

It has space group P-62m (No. 189), with a = 9.1425 Å, b = 9.1425 Å, c = 4.6073 Å, α = 90.00°, β = 90.00° and γ = 120.00°. The inequivalent atoms are Ba at (0.0000, 0.4203, 0.0000), Na at (0.0000, 0.7698, 0.5000) and Hg at (0.3333, 0.6667, 0.5000).

For the formation energy, the calculation gives -0.260 eV/atom. As for the theoretical density: 4.39 g cm⁻³.



# 6
Entry from the Alexandria database: an optimized crystal structure of TlCN2O (PBE).

It has space group P4/mmm (No. 123), with a = 3.145 Å, b = 3.145 Å, c = 6.119 Å, α = 90.00°, β = 90.00° and γ = 90.00°. The inequivalent atoms are Tl at (0.000, 0.000, 0.000), C at (0.500, 0.500, 0.500), N at (0.000, 0.500, 0.500) and O at (0.500, 0.500, 0.000).

Its energy is -5.02 eV per atom. As for the theoretical density: 7.15 g cm⁻³.



# 7
Entry from the Alexandria database: an optimized crystal structure of BaAg2GeSe4 (PBE).

It has space group I222 (No. 23), with a = 7.073 Å, b = 7.475 Å, c = 8.453 Å, α = 90.00°, β = 90.00° and γ = 90.00°. The inequivalent atoms are Ba at (0.000, 0.000, 0.000), Ag at (0.000, 0.500, 0.184), Ge at (0.000, 0.000, 0.500) and Se at (0.193, 0.188, 0.663).

Its energy is -3.99 eV per atom. As for the theoretical density: 5.51 g cm⁻³.



# 8
Entry from the Alexandria database: an optimized crystal structure of Pr4Ho3Hg4 (PBE).

It has space group Immm (No. 71), with a = 3.623 Å, b = 9.336 Å, c = 19.350 Å, α = 90.00°, β = 90.00° and γ = 90.00°. The inequivalent atoms are Pr at (0.000, 0.174, 0.159), Ho at (0.000, 0.000, 0.405), Ho at (0.000, 0.500, 0.500), Hg at (0.000, 0.290, 0.000) and Hg at (0.000, 0.500, 0.224).

For the formation energy, the calculation gives -0.277 eV/atom. As for the theoretical density: 9.44 g cm⁻³.



# 9
Entry from the Alexandria database: an optimized crystal structure of EuAl3Fe (PBE).

It has space group Pm-3m (No. 221), with a = 4.579 Å, b = 4.579 Å, c = 4.579 Å, α = 90.00°, β = 90.00° and γ = 90.00°. The inequivalent atoms are Eu at (0.000, 0.000, 0.000), Al at (0.000, 0.500, 0.500) and Fe at (0.500, 0.500, 0.500).

For the formation energy, the calculation gives -0.341 eV/atom. As for the theoretical density: 4.99 g cm⁻³.



# 10
Entry from the Alexandria database: an optimized crystal structure of Ba2InHg4Bi2 (PBE).

It has space group I4/mmm (No. 139), with a = 7.338 Å, b = 7.338 Å, c = 11.129 Å, α = 90.00°, β = 90.00° and γ = 90.00°. The inequivalent atoms are Ba at (0.000, 0.500, 0.250), In at (0.000, 0.000, 0.000), Hg at (0.216, 0.216, 0.500) and Bi at (0.000, 0.000, 0.275).

For the formation energy, the calculation gives -0.413 eV/atom. As for the theoretical density: 8.92 g cm⁻³.



# 11
Entry from the Alexandria database: an optimized crystal structure of Pu2NpScTe4 (PBE).

It has space group P2/m (No. 10), with a = 7.469 Å, b = 4.313 Å, c = 7.658 Å, α = 90.00°, β = 109.00° and γ = 90.00°. The inequivalent atoms are Pu at (0.000, 0.000, 0.000), Pu at (0.500, 0.500, 0.000), Np at (0.000, 0.500, 0.500), Sc at (0.500, 0.000, 0.500), Te at (0.256, 0.000, 0.743) and Te at (0.263, 0.500, 0.263).

Its energy is -8.50 eV per atom. As for the theoretical density: 9.11 g cm⁻³.



# 12
Entry from the Alexandria database: an optimized crystal structure of Al2ZnO (PBE).

It has space group Fm-3m (No. 225), with a = 6.143 Å, b = 6.143 Å, c = 6.143 Å, α = 90.00°, β = 90.00° and γ = 90.00°. The inequivalent atoms are Al at (0.250, 0.250, 0.250), Zn at (0.000, 0.000, 0.000) and O at (0.000, 0.000, 0.500).

Its energy above the most stable polymorph in this dataset is 0.7779 eV/atom. As for the theoretical density: 3.88 g cm⁻³.



# 13
Entry from the Alexandria database: an optimized crystal structure of Li2AuN (PBE).

It has space group I4_1/amd (No. 141, origin choice 2), with a = 8.075 Å, b = 8.075 Å, c = 4.085 Å, α = 90.00°, β = 90.00° and γ = 90.00°. The inequivalent atoms are Li at (0.000, 0.000, 0.000), Au at (0.000, 0.250, 0.375) and N at (0.000, 0.250, 0.875).

Its energy is -3.96 eV per atom. As for the theoretical density: 5.61 g cm⁻³.



# 14
Entry from the Alexandria database: an optimized crystal structure of SmDy6Ag (PBE).

It has space group R-3 (No. 148, hexagonal axes), with a = 9.3213 Å, b = 9.3213 Å, c = 9.7427 Å, α = 90.00°, β = 90.00° and γ = 120.00°. The inequivalent atoms are Sm at (0.0000, 0.0000, 0.0000), Dy at (0.0303, 0.2526, 0.7067) and Ag at (0.0000, 0.0000, 0.5000).

For the formation energy, the calculation gives 0.043 eV/atom. As for the theoretical density: 8.38 g cm⁻³.



# 15
Entry from the Alexandria database: an optimized crystal structure of HoGa2Ge2 (PBE).

It has space group Cmcm (No. 63), with a = 4.013 Å, b = 24.424 Å, c = 4.055 Å, α = 90.00°, β = 90.00° and γ = 90.00°. The inequivalent atoms are Ho at (0.000, 0.155, 0.250), Ga at (0.000, 0.050, 0.750), Ga at (0.000, 0.453, 0.750), Ge at (0.000, 0.250, 0.750) and Ge at (0.000, 0.364, 0.250).

For the formation energy, the calculation gives -0.305 eV/atom. As for the theoretical density: 7.52 g cm⁻³.



# 16
Entry from the Alexandria database: an optimized crystal structure of La3AsCl3 (PBE).

It has space group I4_132 (No. 214), with a = 11.950 Å, b = 11.950 Å, c = 11.950 Å, α = 90.00°, β = 90.00° and γ = 90.00°. The inequivalent atoms are La at (0.119, 0.369, 0.125), As at (0.125, 0.125, 0.125) and Cl at (0.124, 0.126, 0.625).

Its energy is -5.46 eV per atom. As for the theoretical density: 4.66 g cm⁻³.



# 17
Entry from the Alexandria database: an optimized crystal structure of TbCeScOs (PBE).

It has space group F-43m (No. 216), with a = 7.130 Å, b = 7.130 Å, c = 7.130 Å, α = 90.00°, β = 90.00° and γ = 90.00°. The inequivalent atoms are Tb at (0.000, 0.000, 0.000), Ce at (0.000, 0.000, 0.500), Sc at (0.250, 0.250, 0.750) and Os at (0.250, 0.250, 0.250).

For the formation energy, the calculation gives 0.043 eV/atom. As for the theoretical density: 9.79 g cm⁻³.



# 18
Entry from the Alexandria database: an optimized crystal structure of AcLa2P (PBE).

It has space group R3m (No. 160, hexagonal axes), with a = 4.0877 Å, b = 4.0877 Å, c = 29.5382 Å, α = 90.00°, β = 90.00° and γ = 120.00°. The inequivalent atoms are Ac at (0.0000, 0.0000, 0.0000), La at (0.0000, 0.0000, 0.2252), La at (0.0000, 0.0000, 0.4425) and P at (0.0000, 0.0000, 0.8339).

Its energy above the most stable polymorph in this dataset is 0.0000 eV/atom. For the formation energy, the calculation gives -0.736 eV/atom. As for the theoretical density: 6.24 g cm⁻³.



# 19
Entry from the Alexandria database: an optimized crystal structure of Ca2Si4GePt3 (PBE).

It has space group P-4m2 (No. 115), with a = 4.238 Å, b = 4.238 Å, c = 10.059 Å, α = 90.00°, β = 90.00° and γ = 90.00°. The inequivalent atoms are Ca at (0.000, 0.500, 0.248), Si at (0.000, 0.000, 0.000), Si at (0.000, 0.500, 0.639), Si at (0.500, 0.500, 0.000), Ge at (0.000, 0.000, 0.500), Pt at (0.000, 0.500, 0.878) and Pt at (0.500, 0.500, 0.500).

Its energy is -5.62 eV per atom. As for the theoretical density: 7.82 g cm⁻³.



# 20
Entry from the Alexandria database: an optimized crystal structure of MgIn2 (PBE).

It has space group Pa-3 (No. 205), with a = 7.078 Å, b = 7.078 Å, c = 7.078 Å, α = 90.00°, β = 90.00° and γ = 90.00°. The inequivalent atoms are Mg at (0.000, 0.000, 0.000) and In at (0.129, 0.629, 0.871).

For the formation energy, the calculation gives 0.239 eV/atom. As for the theoretical density: 4.76 g cm⁻³.